w.
Al2TlFe2 | GGA-PBE | optimized geometry

Calculated values
DOS at the Fermi energy, states/eV/f.u.: 7.77

Cell lengths 3.6968, 3.6968, 11.6197 Å; angles 90.00, 90.00, 90.00 degrees
Closest atoms and distances in Å follow each position.
Space group I4/mmm (No. 139)
Inequivalent atoms, fractional coordinates:
Al (0.0000, 0.5000, 0.2500)  4 Fe 2.54, 4 Al 2.61
Tl (0.0000, 0.0000, 0.0000)  8 Fe 2.86
Fe (0.0000, 0.0000, 0.4000)  1 Fe 2.32, 4 Al 2.54

x.
Al2TlFe2 | GGA-PBE | optimized geometry

Calculated values
DOS at the Fermi energy, states/eV/f.u.: 3.06

Cell lengths 6.9578, 6.9578, 3.1506 Å; angles 90.00, 90.00, 90.00 degrees
Closest atoms and distances in Å follow each position.
Space group P4/mbm (No. 127)
Inequivalent atoms, fractional coordinates:
Al (0.1423, 0.3577, 0.0000)  6 Fe 2.54-2.63, 1 Al 2.80
Tl (0.0000, 0.0000, 0.5000)  4 Fe 2.67
Fe (0.1432, 0.6432, 0.5000)  6 Al 2.54-2.63, 2 Tl 2.67, 1 Fe 2.82

y.
Al2TlFe2 | GGA-PBE | optimized geometry

Calculated values
DOS at the Fermi energy, states/eV/f.u.: 4.28

Cell lengths 7.4534, 7.4534, 2.7643 Å; angles 90.00, 90.00, 90.00 degrees
Closest atoms and distances in Å follow each position.
Space group P4/mbm (No. 127)
Inequivalent atoms, fractional coordinates:
Al (0.1296, 0.3704, 0.0000)  6 Fe 2.58-2.60, 3 Al 2.73-2.76
Tl (0.0000, 0.0000, 0.0000)  2 Tl 2.76, 4 Al 2.92
Fe (0.1614, 0.6614, 0.5000)  6 Al 2.58-2.60, 2 Fe 2.76

Relative stability in kJ/mol of atoms, measured from the most stable structure: w 11.2; x 0.0; y 7.6